(1)
A relaxed structure of Pm2DyY4Sc2. Source: Alexandria, functional GGA-PBE.

Results
The value obtained for the total energy is -5.80 eV/atom. As for the symmetry: No. 12. The size of the total moment comes out at 0.00 μB per formula unit. As for the formation energy: 0.05 eV per atom. The density of states at the Fermi level comes out at 14.389 states/eV per cell.

Unit cell a=8.6221 b=8.6221 c=9.6157 alpha=100.18 beta=100.18 gamma=23.37
Last column: nearest neighbours and their distance in Å.
Sites, in units of the cell vectors:
1 Pm 0.1585 0.1585 0.0893  2 Pm 3.49, 7 Y 3.51-3.66, 2 Sc 3.62
2 Pm 0.8415 0.8415 0.9107  2 Pm 3.49, 7 Y 3.51-3.66, 2 Sc 3.62
3 Dy 0.0000 0.0000 0.5000  6 Y 3.33-3.54, 2 Dy 3.49, 4 Sc 3.52
4 Y 0.1746 0.1746 0.7258  3 Sc 3.24-3.39, 1 Dy 3.33, 4 Y 3.49-3.51, 3 Pm 3.51-3.55
5 Y 0.4876 0.4876 0.1770  1 Sc 3.49, 5 Y 3.49-3.51, 2 Dy 3.54, 4 Pm 3.60-3.66
6 Y 0.5124 0.5124 0.8230  1 Sc 3.49, 5 Y 3.49-3.51, 2 Dy 3.54, 4 Pm 3.60-3.66
7 Y 0.8254 0.8254 0.2742  3 Sc 3.24-3.39, 1 Dy 3.33, 4 Y 3.49-3.51, 3 Pm 3.51-3.55
8 Sc 0.3327 0.3327 0.5780  4 Y 3.24-3.49, 4 Sc 3.40-3.49, 2 Dy 3.52, 2 Pm 3.62
9 Sc 0.6673 0.6673 0.4220  4 Y 3.24-3.49, 4 Sc 3.40-3.49, 2 Dy 3.52, 2 Pm 3.62

(2)
A relaxed structure of Pm4DyY2Sc. Source: Alexandria, functional GGA-PBE.

Results
The value obtained for the total energy is -5.33 eV/atom. As for the symmetry: No. 47. The size of the total moment comes out at 0.00 μB per formula unit. As for the formation energy: 0.03 eV per atom. The density of states at the Fermi level comes out at 11.305 states/eV per cell.

Unit cell a=5.0746 b=5.0872 c=9.9442 alpha=90.00 beta=90.00 gamma=90.00
Last column: nearest neighbours and their distance in Å.
Sites, in units of the cell vectors:
1 Pm 0.0000 0.0000 0.2450  2 Sc 3.52, 4 Y 3.52-3.59, 2 Dy 3.59, 4 Pm 3.59
2 Pm 0.0000 0.0000 0.7550  2 Sc 3.52, 4 Y 3.52-3.59, 2 Dy 3.59, 4 Pm 3.59
3 Pm 0.5000 0.5000 0.2450  4 Y 3.52-3.59, 2 Sc 3.52, 2 Dy 3.59, 4 Pm 3.59
4 Pm 0.5000 0.5000 0.7550  4 Y 3.52-3.59, 2 Sc 3.52, 2 Dy 3.59, 4 Pm 3.59
5 Dy 0.0000 0.5000 0.5000  8 Pm 3.59, 4 Y 3.59
6 Y 0.0000 0.5000 0.0000  8 Pm 3.52, 4 Sc 3.59
7 Y 0.5000 0.0000 0.5000  8 Pm 3.59, 4 Dy 3.59
8 Sc 0.5000 0.0000 0.0000  8 Pm 3.52, 4 Y 3.59

(3)
A relaxed structure of Pm5DyY2Sc. Source: Alexandria, functional GGA-PBE.

Results
The value obtained for the total energy is -5.17 eV/atom. As for the symmetry: No. 63. The size of the total moment comes out at 0.00 μB per formula unit. As for the formation energy: 0.12 eV per atom. The density of states at the Fermi level comes out at 26.775 states/eV per cell.

Unit cell a=11.2916 b=11.2916 c=10.1762 alpha=90.00 beta=90.00 gamma=152.52
Last column: nearest neighbours and their distance in Å.
Sites, in units of the cell vectors:
1 Pm 0.0000 0.0000 0.0000  2 Dy 3.38, 6 Pm 3.70-3.75, 4 Y 3.70
2 Pm 0.0000 0.0000 0.5000  2 Dy 3.38, 6 Pm 3.70-3.75, 4 Y 3.70
3 Pm 0.1256 0.8744 0.7500  1 Sc 3.48, 4 Y 3.71, 6 Pm 3.75-3.83
4 Pm 0.2211 0.7789 0.0626  2 Pm 3.23, 1 Dy 3.25, 3 Sc 3.29-3.47, 2 Y 3.59
5 Pm 0.2211 0.7789 0.4374  2 Pm 3.23, 1 Dy 3.25, 3 Sc 3.29-3.47, 2 Y 3.59
6 Pm 0.4990 0.5010 0.2500  2 Dy 3.49, 4 Y 3.59-3.61, 6 Pm 3.70-3.83
7 Pm 0.5010 0.4990 0.7500  2 Dy 3.49, 4 Y 3.59-3.61, 6 Pm 3.70-3.83
8 Pm 0.7789 0.2211 0.5626  2 Pm 3.23, 1 Dy 3.25, 3 Sc 3.29-3.47, 2 Y 3.59
9 Pm 0.7789 0.2211 0.9374  2 Pm 3.23, 1 Dy 3.25, 3 Sc 3.29-3.47, 2 Y 3.59
10 Pm 0.8744 0.1256 0.2500  1 Sc 3.48, 4 Y 3.71, 6 Pm 3.75-3.83
11 Dy 0.1011 0.8989 0.2500  6 Pm 3.25-3.49
12 Dy 0.8989 0.1011 0.7500  6 Pm 3.25-3.49
13 Y 0.3838 0.6162 0.5009  1 Sc 3.34, 9 Pm 3.59-3.71, 2 Dy 3.71
14 Y 0.3838 0.6162 0.9991  1 Sc 3.34, 9 Pm 3.59-3.71, 2 Dy 3.71
15 Y 0.6162 0.3838 0.0009  1 Sc 3.34, 9 Pm 3.59-3.71, 2 Dy 3.71
16 Y 0.6162 0.3838 0.4991  1 Sc 3.34, 9 Pm 3.59-3.71, 2 Dy 3.71
17 Sc 0.2844 0.7156 0.7500  7 Pm 3.29-3.48, 2 Y 3.34, 2 Dy 3.67
18 Sc 0.7156 0.2844 0.2500  7 Pm 3.29-3.48, 2 Y 3.34, 2 Dy 3.67

(4)
A relaxed structure of Pm2DyY4Sc. Source: Alexandria, functional GGA-PBE.

Results
The value obtained for the total energy is -5.75 eV/atom. As for the symmetry: No. 123. The size of the total moment comes out at 0.00 μB per formula unit. As for the formation energy: 0.04 eV per atom. The density of states at the Fermi level comes out at 12.283 states/eV per cell.

Unit cell a=5.0280 b=5.0280 c=10.0108 alpha=90.00 beta=90.00 gamma=90.00
Last column: nearest neighbours and their distance in Å.
Sites, in units of the cell vectors:
1 Pm 0.0000 0.0000 0.0000  8 Y 3.51, 4 Sc 3.56
2 Pm 0.5000 0.5000 0.5000  4 Dy 3.56, 8 Y 3.58
3 Dy 0.0000 0.0000 0.5000  4 Pm 3.56, 8 Y 3.58
4 Y 0.0000 0.5000 0.2453  4 Pm 3.51-3.58, 2 Sc 3.51, 4 Y 3.56, 2 Dy 3.58
5 Y 0.0000 0.5000 0.7547  2 Sc 3.51, 4 Pm 3.51-3.58, 4 Y 3.56, 2 Dy 3.58
6 Y 0.5000 0.0000 0.2453  4 Pm 3.51-3.58, 2 Sc 3.51, 4 Y 3.56, 2 Dy 3.58
7 Y 0.5000 0.0000 0.7547  2 Sc 3.51, 4 Pm 3.51-3.58, 4 Y 3.56, 2 Dy 3.58
8 Sc 0.5000 0.5000 0.0000  8 Y 3.51, 4 Pm 3.56

What is the size of the total moment in the third record? 0.00 μB per formula unit